1.
LiScAl2Os: relaxed, GGA-PBE.

a b c (Å): 4.826 4.826 4.954
angles (deg): 90.00 90.00 90.00
Space group P4/mmm (No. 123)
Symmetry-distinct sites (fractional):
1 Li 0.000 0.000 0.000 x1
2 Sc 0.500 0.500 0.000 x1
3 Al 0.000 0.500 0.500 x2
4 Os 0.500 0.500 0.500 x1

E_form ... -0.3 eV/f.u.
Mass density ... 4.3 g cm⁻³
Total magnetic moment ... 0.00 μB per atom

2.
LiSmAlOs: relaxed, GGA-PBE.

a b c (Å): 6.609 6.609 6.609
angles (deg): 90.00 90.00 90.00
Space group F-43m (No. 216)
Symmetry-distinct sites (fractional):
1 Li 0.000 0.000 0.000 x4
2 Sm 0.250 0.250 0.250 x4
3 Al 0.250 0.250 0.750 x4
4 Os 0.000 0.000 0.500 x4

E_form ... -0.5 eV/f.u.
Mass density ... 8.6 g cm⁻³
Total magnetic moment ... 0.00 μB per atom

3.
SrLiAl2Os: relaxed, GGA-PBE.

a b c (Å): 4.779 4.779 5.002
angles (deg): 90.00 90.00 90.00
Space group P4/mmm (No. 123)
Symmetry-distinct sites (fractional):
1 Sr 0.000 0.000 0.000 x1
2 Li 0.500 0.500 0.000 x1
3 Al 0.000 0.500 0.500 x2
4 Os 0.500 0.500 0.500 x1

E_form ... -0.7 eV/f.u.
Mass density ... 4.9 g cm⁻³
Total magnetic moment ... 0.00 μB per atom

4.
LiTbAlOs: relaxed, GGA-PBE.

a b c (Å): 6.543 6.543 6.543
angles (deg): 90.00 90.00 90.00
Space group F-43m (No. 216)
Symmetry-distinct sites (fractional):
1 Li 0.000 0.000 0.000 x4
2 Tb 0.250 0.250 0.250 x4
3 Al 0.250 0.250 0.750 x4
4 Os 0.000 0.000 0.500 x4

E_form ... -0.8 eV/f.u.
Mass density ... 9.1 g cm⁻³
Total magnetic moment ... 0.00 μB per atom

5.
LiUAlOs: relaxed, GGA-PBE.

a b c (Å): 6.494 6.494 6.494
angles (deg): 90.00 90.00 90.00
Space group F-43m (No. 216)
Symmetry-distinct sites (fractional):
1 Li 0.000 0.000 0.000 x4
2 U 0.250 0.250 0.250 x4
3 Al 0.250 0.250 0.750 x4
4 Os 0.000 0.000 0.500 x4

E_form ... -0.1 eV/f.u.
Mass density ... 11.2 g cm⁻³
Total magnetic moment ... 0.44 μB per atom

6.
LiAlOsW: relaxed, GGA-PBE.

a b c (Å): 6.077 6.077 6.077
angles (deg): 90.00 90.00 90.00
Space group F-43m (No. 216)
Symmetry-distinct sites (fractional):
1 Li 0.000 0.000 0.000 x4
2 Al 0.250 0.250 0.250 x4
3 Os 0.000 0.000 0.500 x4
4 W 0.250 0.250 0.750 x4

E_form ... -1.1 eV/f.u.
Mass density ... 12.1 g cm⁻³
Total magnetic moment ... 0.00 μB per atom

7.
LiAl2P: relaxed, GGA-PBE.

a b c (Å): 2.880 2.880 7.650
angles (deg): 90.00 90.00 90.00
Space group P4mm (No. 99)
Symmetry-distinct sites (fractional):
1 Li 0.000 0.000 0.000 x1
2 Al 0.000 0.000 0.448 x1
3 Al 0.500 0.500 0.711 x1
4 P 0.500 0.500 0.228 x1

E_form ... -0.2 eV/f.u.
Mass density ... 2.4 g cm⁻³
Total magnetic moment ... 0.00 μB per atom

8.
LiAl2P: relaxed, GGA-PBE.

a b c (Å): 3.603 3.980 8.554
angles (deg): 90.00 90.00 90.00
Space group Imm2 (No. 44)
Symmetry-distinct sites (fractional):
1 Li 0.000 0.000 0.000 x2
2 Al 0.000 0.000 0.529 x2
3 Al 0.000 0.500 0.764 x2
4 P 0.000 0.500 0.259 x2

E_form ... -0.4 eV/f.u.
Mass density ... 2.5 g cm⁻³
Total magnetic moment ... 0.00 μB per atom

9.
LiAl2P: relaxed, GGA-PBE.

a b c (Å): 3.417 3.417 5.230
angles (deg): 90.00 90.00 90.00
Space group P4/mmm (No. 123)
Symmetry-distinct sites (fractional):
1 Li 0.000 0.000 0.000 x1
2 Al 0.500 0.500 0.256 x2
3 P 0.000 0.000 0.500 x1

E_form ... -0.2 eV/f.u.
Mass density ... 2.5 g cm⁻³
Total magnetic moment ... 0.00 μB per atom

10.
LiAl2P: relaxed, GGA-PBE.

a b c (Å): 3.194 3.194 6.671
angles (deg): 90.00 90.00 90.00
Space group P4/mmm (No. 123)
Symmetry-distinct sites (fractional):
1 Li 0.000 0.000 0.000 x1
2 Al 0.500 0.500 0.296 x2
3 P 0.000 0.000 0.500 x1

E_form ... -0.1 eV/f.u.
Mass density ... 2.2 g cm⁻³
Total magnetic moment ... 0.00 μB per atom

11.
LiAlP3: relaxed, GGA-PBE.

a b c (Å): 4.687 4.687 4.687
angles (deg): 90.00 90.00 90.00
Space group Pm-3m (No. 221)
Symmetry-distinct sites (fractional):
1 Li 0.000 0.000 0.000 x1
2 Al 0.500 0.500 0.500 x1
3 P 0.000 0.500 0.500 x3

E_form ... 2.3 eV/f.u.
Mass density ... 2.0 g cm⁻³
Total magnetic moment ... 0.00 μB per atom

12.
Li2AlP: relaxed, GGA-PBE.

a b c (Å): 2.851 4.452 4.713
angles (deg): 90.00 90.00 90.00
Space group Pmm2 (No. 25)
Symmetry-distinct sites (fractional):
1 Li 0.000 0.000 0.000 x1
2 Li 0.000 0.500 0.296 x1
3 Al 0.500 0.000 0.516 x1
4 P 0.500 0.500 0.790 x1

E_form ... -1.0 eV/f.u.
Mass density ... 2.0 g cm⁻³
Total magnetic moment ... 0.00 μB per atom

13.
Li2Al2P: relaxed, GGA-PBE.

a b c (Å): 6.427 6.427 4.349
angles (deg): 90.00 90.00 90.00
Space group P4/mbm (No. 127)
Symmetry-distinct sites (fractional):
1 Li 0.160 0.340 0.000 x4
2 Al 0.143 0.643 0.500 x4
3 P 0.000 0.000 0.500 x2

E_form ... -0.4 eV/f.u.
Mass density ... 1.8 g cm⁻³
Total magnetic moment ... 0.00 μB per atom

14.
LiAl2P: relaxed, GGA-PBE.

a b c (Å): 5.219 9.691 2.871
angles (deg): 90.00 119.76 90.00
Space group C2/m (No. 12)
Symmetry-distinct sites (fractional):
1 Li 0.000 0.000 0.000 x2
2 Al 0.250 0.250 0.000 x4
3 P 0.000 0.500 0.000 x2

E_form ... -0.4 eV/f.u.
Mass density ... 2.4 g cm⁻³
Total magnetic moment ... 0.00 μB per atom

15.
LiAl2P: relaxed, GGA-PBE.

a b c (Å): 2.711 4.484 10.855
angles (deg): 90.00 90.00 90.00
Space group Immm (No. 71)
Symmetry-distinct sites (fractional):
1 Li 0.000 0.000 0.000 x2
2 Al 0.000 0.500 0.211 x4
3 P 0.000 0.000 0.500 x2

E_form ... -0.6 eV/f.u.
Mass density ... 2.3 g cm⁻³
Total magnetic moment ... 0.00 μB per atom

16.
Li2AlP: relaxed, GGA-PBE.

a b c (Å): 2.9021 2.9021 25.9309
angles (deg): 90.00 90.00 120.00
Space group R-3m (No. 166, hexagonal axes)
Symmetry-distinct sites (fractional):
1 Li 0.0000 0.0000 0.2388 x6
2 Al 0.0000 0.0000 0.0000 x3
3 P 0.0000 0.0000 0.5000 x3

E_form ... -0.5 eV/f.u.
Mass density ... 1.9 g cm⁻³
Total magnetic moment ... 0.00 μB per atom

17.
LiAl2P: relaxed, GGA-PBE.

a b c (Å): 6.396 6.396 6.396
angles (deg): 90.00 90.00 90.00
Space group F-43m (No. 216)
Symmetry-distinct sites (fractional):
1 Li 0.000 0.000 0.000 x4
2 Al 0.000 0.000 0.500 x4
3 Al 0.250 0.250 0.250 x4
4 P 0.250 0.250 0.750 x4

E_form ... 0.3 eV/f.u.
Mass density ... 2.3 g cm⁻³
Total magnetic moment ... 0.00 μB per atom

18.
Li2AlP: relaxed, GGA-PBE.

a b c (Å): 3.710 3.710 18.257
angles (deg): 90.00 90.00 90.00
Space group I-42d (No. 122)
Symmetry-distinct sites (fractional):
1 Li 0.222 0.750 0.125 x8
2 Al 0.000 0.000 0.500 x4
3 P 0.000 0.000 0.000 x4

E_form ... -0.6 eV/f.u.
Mass density ... 1.9 g cm⁻³
Total magnetic moment ... 0.00 μB per atom

19.
LiAl2P2: relaxed, GGA-PBE.

a b c (Å): 6.858 6.858 3.333
angles (deg): 90.00 90.00 90.00
Space group P4/mbm (No. 127)
Symmetry-distinct sites (fractional):
1 Li 0.000 0.000 0.000 x2
2 Al 0.141 0.359 0.500 x4
3 P 0.164 0.664 0.000 x4

E_form ... -1.3 eV/f.u.
Mass density ... 2.6 g cm⁻³
Total magnetic moment ... 0.00 μB per atom

20.
LiAl2P: relaxed, GGA-PBE.

a b c (Å): 3.4945 3.4945 22.5063
angles (deg): 90.00 90.00 120.00
Space group R-3m (No. 166, hexagonal axes)
Symmetry-distinct sites (fractional):
1 Li 0.0000 0.0000 0.0000 x3
2 Al 0.0000 0.0000 0.2305 x6
3 P 0.0000 0.0000 0.5000 x3

E_form ... -0.3 eV/f.u.
Mass density ... 1.9 g cm⁻³
Total magnetic moment ... 0.00 μB per atom

21.
Li2AlP: relaxed, GGA-PBE.

a b c (Å): 9.273 2.807 4.696
angles (deg): 90.00 98.70 90.00
Space group Cm (No. 8)
Symmetry-distinct sites (fractional):
1 Li 0.000 0.000 0.000 x2
2 Li 0.229 0.000 0.762 x2
3 Al 0.468 0.000 0.479 x2
4 P 0.221 0.500 0.265 x2

E_form ... -0.8 eV/f.u.
Mass density ... 2.0 g cm⁻³
Total magnetic moment ... 0.00 μB per atom

22.
LiAl2P: relaxed, GGA-PBE.

a b c (Å): 8.768 3.605 4.909
angles (deg): 90.00 104.01 90.00
Space group Cm (No. 8)
Symmetry-distinct sites (fractional):
1 Li 0.000 0.000 0.000 x2
2 Al 0.144 0.500 0.575 x2
3 Al 0.340 0.000 0.396 x2
4 P 0.225 0.500 0.093 x2

E_form ... -0.8 eV/f.u.
Mass density ... 2.0 g cm⁻³
Total magnetic moment ... 0.00 μB per atom

23.
LiAl4P: relaxed, GGA-PBE.

a b c (Å): 7.527 7.527 7.527
angles (deg): 90.00 90.00 90.00
Space group F-43m (No. 216)
Symmetry-distinct sites (fractional):
1 Li 0.000 0.000 0.000 x4
2 Al 0.126 0.126 0.374 x16
3 P 0.250 0.250 0.750 x4

E_form ... 1.3 eV/f.u.
Mass density ... 2.3 g cm⁻³
Total magnetic moment ... 0.00 μB per atom

24.
LiAl2P: relaxed, GGA-PBE.

a b c (Å): 7.807 7.807 4.866
angles (deg): 90.00 90.00 90.00
Space group I-42d (No. 122)
Symmetry-distinct sites (fractional):
1 Li 0.000 0.000 0.000 x4
2 Al 0.177 0.250 0.625 x8
3 P 0.000 0.000 0.500 x4

E_form ... -1.0 eV/f.u.
Mass density ... 2.1 g cm⁻³
Total magnetic moment ... 0.00 μB per atom

25.
LiAl2P: relaxed, GGA-PBE.

a b c (Å): 4.693 2.791 5.194
angles (deg): 90.00 114.01 90.00
Space group P2/m (No. 10)
Symmetry-distinct sites (fractional):
1 Li 0.000 0.000 0.000 x1
2 Al 0.000 0.500 0.500 x1
3 Al 0.500 0.000 0.500 x1
4 P 0.500 0.500 0.000 x1

E_form ... -0.5 eV/f.u.
Mass density ... 2.5 g cm⁻³
Total magnetic moment ... 0.00 μB per atom

26.
Li2AlP: relaxed, GGA-PBE.

a b c (Å): 6.245 6.245 6.245
angles (deg): 90.00 90.00 90.00
Space group Fm-3m (No. 225)
Symmetry-distinct sites (fractional):
1 Li 0.250 0.250 0.250 x8
2 Al 0.000 0.000 0.000 x4
3 P 0.000 0.000 0.500 x4

E_form ... -0.8 eV/f.u.
Mass density ... 2.0 g cm⁻³
Total magnetic moment ... 0.00 μB per atom

27.
Li2AlP: relaxed, GGA-PBE.

a b c (Å): 3.832 3.832 7.950
angles (deg): 90.00 90.00 90.00
Space group I-4m2 (No. 119)
Symmetry-distinct sites (fractional):
1 Li 0.000 0.000 0.000 x2
2 Li 0.000 0.500 0.250 x2
3 Al 0.000 0.000 0.500 x2
4 P 0.000 0.500 0.750 x2

E_form ... -1.0 eV/f.u.
Mass density ... 2.0 g cm⁻³
Total magnetic moment ... 0.00 μB per atom

28.
LiAlP4: relaxed, GGA-PBE.

a b c (Å): 7.256 7.256 7.256
angles (deg): 90.00 90.00 90.00
Space group F-43m (No. 216)
Symmetry-distinct sites (fractional):
1 Li 0.000 0.000 0.000 x4
2 Al 0.250 0.250 0.750 x4
3 P 0.122 0.122 0.378 x16

E_form ... 1.8 eV/f.u.
Mass density ... 2.7 g cm⁻³
Total magnetic moment ... 0.00 μB per atom

29.
LiAl2P: relaxed, GGA-PBE.

a b c (Å): 5.217 6.367 3.762
angles (deg): 90.00 90.00 90.00
Space group Cmmm (No. 65)
Symmetry-distinct sites (fractional):
1 Li 0.000 0.000 0.000 x2
2 Al 0.250 0.250 0.500 x4
3 P 0.000 0.500 0.000 x2

E_form ... -0.4 eV/f.u.
Mass density ... 2.4 g cm⁻³
Total magnetic moment ... 0.00 μB per atom